Material: Ta4CdPd2
Method: DFT, GGA-PBE
State: optimized geometry

DOS at the Fermi energy, states/eV per cell: 14.480
Formation energy from the elements, meV per atom: 1539
E, eV/cell: -95.882
Total magnetization, μB per atom: 0.000

```
data_Ta4CdPd2
_chemical_formula_sum 'Ta8 Cd2 Pd4'
_cell_length_a 4.886
_cell_length_b 4.886
_cell_length_c 13.091
_cell_angle_alpha 90.00
_cell_angle_beta 90.00
_cell_angle_gamma 90.00
_space_group_name_H-M_alt 'I 4/m m m'
_space_group_IT_number 139
_space_group_name_Hall '-I 4 2'
loop_
_atom_site_label
_atom_site_fract_x
_atom_site_fract_y
_atom_site_fract_z
Ta1 0.000 0.000 0.206
Ta2 0.000 0.500 0.000
Cd1 0.000 0.000 0.000
Pd1 0.000 0.000 0.393
```